DFT (PBE with a Hubbard U) results for Mn3Cr3O8 after structural relaxation.

a b c (Å): 6.0518 6.0518 6.0518
angles (deg): 60.29 60.29 60.29
Each line ends with the local moment (μB).
Element x y z (fractional)
Mn: 0.0000 0.0000 0.0000  2.15
Mn: 0.3750 0.3750 0.3750  4.58
Mn: 0.6250 0.6250 0.6250  4.58
O: 0.2084 0.7656 0.7656  -0.04
O: 0.7656 0.7656 0.2084  -0.04
O: 0.2344 0.2344 0.7916  -0.04
O: 0.2344 0.7916 0.2344  -0.04
O: 0.7916 0.2344 0.2344  -0.04
O: 0.2359 0.2359 0.2359  -0.03
O: 0.7641 0.7641 0.7641  -0.03
O: 0.7656 0.2084 0.7656  -0.04
Cr: 0.5000 0.0000 0.0000  3.07
Cr: 0.0000 0.0000 0.5000  3.07
Cr: 0.0000 0.5000 0.0000  3.07

Output
Its final energy is -7.84 eV per atom. The symmetry is R-3m, No. 166.